Entry 1:
# LaTh2BeN4, optimized geometry, DFT PBE
data_LaTh2BeN4
_space_group_name_H-M_alt 'C m c m'
_space_group_IT_number 63
_space_group_name_Hall '-C 2c 2'
_cell_length_a 3.629
_cell_length_b 11.881
_cell_length_c 11.637
_cell_angle_alpha 90.00
_cell_angle_beta 90.00
_cell_angle_gamma 90.00
loop_
_atom_site_label
_atom_site_fract_x
_atom_site_fract_y
_atom_site_fract_z
_atom_site_occupancy
La1 0.000 0.095 0.250 1
Th1 0.000 0.369 0.057 1
Be1 0.000 0.196 0.750 1
N1 0.000 0.000 0.000 1
N2 0.000 0.266 0.629 1
N3 0.000 0.426 0.250 1
# - M_tot (μB per formula unit) = 0.0
# - N(E_F) (states/eV/f.u.) = 2.13
# - formation energy without anion corrections (eV per atom) = -1.362

---

Entry 2:
# LaTiBeN3, optimized geometry, DFT PBE
data_LaTiBeN3
_space_group_name_H-M_alt 'P 1 21/m 1'
_space_group_IT_number 11
_space_group_name_Hall '-P 2yb'
_cell_length_a 6.804
_cell_length_b 3.169
_cell_length_c 6.893
_cell_angle_alpha 90.00
_cell_angle_beta 107.30
_cell_angle_gamma 90.00
loop_
_atom_site_label
_atom_site_fract_x
_atom_site_fract_y
_atom_site_fract_z
_atom_site_occupancy
La1 0.208 0.250 0.239 1
Ti1 0.331 0.750 0.849 1
Be1 0.087 0.250 0.604 1
N1 0.132 0.250 0.861 1
N2 0.175 0.750 0.533 1
N3 0.454 0.750 0.158 1
# - M_tot (μB per formula unit) = 0.0
# - N(E_F) (states/eV/f.u.) = 0.00
# - formation energy without anion corrections (eV per atom) = -1.318

---

Entry 3:
# LaUBeN3, optimized geometry, DFT PBE
data_LaUBeN3
_space_group_name_H-M_alt 'P 1 21/m 1'
_space_group_IT_number 11
_space_group_name_Hall '-P 2yb'
_cell_length_a 7.052
_cell_length_b 3.378
_cell_length_c 7.311
_cell_angle_alpha 90.00
_cell_angle_beta 102.01
_cell_angle_gamma 90.00
loop_
_atom_site_label
_atom_site_fract_x
_atom_site_fract_y
_atom_site_fract_z
_atom_site_occupancy
La1 0.215 0.250 0.177 1
U1 0.183 0.250 0.660 1
Be1 0.402 0.750 0.928 1
N1 0.138 0.750 0.430 1
N2 0.154 0.750 0.875 1
N3 0.484 0.250 0.844 1
# - M_tot (μB per formula unit) = 1.5
# - N(E_F) (states/eV/f.u.) = 2.93
# - formation energy without anion corrections (eV per atom) = -1.259

---

Entry 4:
# Na2LaBe, optimized geometry, DFT PBE
data_Na2LaBe
_space_group_name_H-M_alt 'I -4 2 d'
_space_group_IT_number 122
_space_group_name_Hall 'I -4 2bw'
_cell_length_a 4.309
_cell_length_b 4.309
_cell_length_c 24.784
_cell_angle_alpha 90.00
_cell_angle_beta 90.00
_cell_angle_gamma 90.00
loop_
_atom_site_label
_atom_site_fract_x
_atom_site_fract_y
_atom_site_fract_z
_atom_site_occupancy
Na1 0.217 0.750 0.125 1
La1 0.000 0.000 0.500 1
Be1 0.000 0.000 0.000 1
# - formation energy from the elements (eV/atom) = 0.55
# - M_tot (μB per formula unit) = 0.5
# - N(E_F) (states/eV/f.u.) = 4.93

---

Entry 5:
# NaLaBe3, optimized geometry, DFT PBE
data_NaLaBe3
_space_group_name_H-M_alt 'P m -3 m'
_space_group_IT_number 221
_space_group_name_Hall '-P 4 2 3'
_cell_length_a 5.405
_cell_length_b 5.405
_cell_length_c 5.405
_cell_angle_alpha 90.00
_cell_angle_beta 90.00
_cell_angle_gamma 90.00
loop_
_atom_site_label
_atom_site_fract_x
_atom_site_fract_y
_atom_site_fract_z
_atom_site_occupancy
Na1 0.000 0.000 0.000 1
La1 0.500 0.500 0.500 1
Be1 0.000 0.500 0.500 1
# - energy relative to the lowest polymorph listed for this composition (eV/atom) = 0.5400
# - formation energy from the elements (eV/atom) = 1.61
# - M_tot (μB per formula unit) = 0.0
# - N(E_F) (states/eV/f.u.) = 6.00

---

Entry 6:
# NaLaBe2, optimized geometry, DFT PBE
data_NaLaBe2
_space_group_name_H-M_alt 'I 41/a m d'
_space_group_IT_number 141
_cell_length_a 4.434
_cell_length_b 4.434
_cell_length_c 18.321
_cell_angle_alpha 90.00
_cell_angle_beta 90.00
_cell_angle_gamma 90.00
loop_
_space_group_symop_operation_xyz
'x,y,z'
'-x,-y,-z'
'-y+1/4,x+3/4,z+1/4'
'y+1/4,-x+3/4,-z+1/4'
'-x+1/2,-y,z+1/2'
'x+1/2,y,-z+1/2'
'y+1/4,-x+1/4,z+3/4'
'-y+1/4,x+1/4,-z+3/4'
'x,-y,-z'
'-x,y,z'
'-y+1/4,-x+1/4,-z+3/4'
'y+1/4,x+1/4,z+3/4'
'-x+1/2,y,-z+1/2'
'x+1/2,-y,z+1/2'
'y+1/4,x+3/4,-z+1/4'
'-y+1/4,-x+3/4,z+1/4'
'x+1/2,y+1/2,z+1/2'
'-x+1/2,-y+1/2,-z+1/2'
'-y+3/4,x+1/4,z+3/4'
'y+3/4,-x+1/4,-z+3/4'
'-x,-y+1/2,z'
'x,y+1/2,-z'
'y+3/4,-x+3/4,z+1/4'
'-y+3/4,x+3/4,-z+1/4'
'x+1/2,-y+1/2,-z+1/2'
'-x+1/2,y+1/2,z+1/2'
'-y+3/4,-x+3/4,-z+1/4'
'y+3/4,x+3/4,z+1/4'
'-x,y+1/2,-z'
'x,-y+1/2,z'
'y+3/4,x+1/4,-z+3/4'
'-y+3/4,-x+1/4,z+3/4'
loop_
_atom_site_label
_atom_site_fract_x
_atom_site_fract_y
_atom_site_fract_z
_atom_site_occupancy
Na1 0.000 0.250 0.375 1
La1 0.000 0.250 0.875 1
Be1 0.000 0.000 0.500 1
# - energy relative to the lowest polymorph listed for this composition (eV/atom) = 0.2015
# - formation energy from the elements (eV/atom) = 0.72
# - M_tot (μB per formula unit) = 0.0
# - N(E_F) (states/eV/f.u.) = 2.13

---

Entry 7:
# NaLaBe2, optimized geometry, DFT PBE
data_NaLaBe2
_space_group_name_H-M_alt 'F m -3 m'
_space_group_IT_number 225
_space_group_name_Hall '-F 4 2 3'
_cell_length_a 6.952
_cell_length_b 6.952
_cell_length_c 6.952
_cell_angle_alpha 90.00
_cell_angle_beta 90.00
_cell_angle_gamma 90.00
loop_
_atom_site_label
_atom_site_fract_x
_atom_site_fract_y
_atom_site_fract_z
_atom_site_occupancy
Na1 0.000 0.000 0.000 1
La1 0.000 0.000 0.500 1
Be1 0.250 0.250 0.250 1
# - energy relative to the lowest polymorph listed for this composition (eV/atom) = 0.0000
# - formation energy from the elements (eV/atom) = 0.51
# - M_tot (μB per formula unit) = 0.0
# - N(E_F) (states/eV/f.u.) = 1.47

---

Entry 8:
# NaLaBe3, optimized geometry, DFT PBE
data_NaLaBe3
_space_group_name_H-M_alt 'P m -3 m'
_space_group_IT_number 221
_space_group_name_Hall '-P 4 2 3'
_cell_length_a 4.655
_cell_length_b 4.655
_cell_length_c 4.655
_cell_angle_alpha 90.00
_cell_angle_beta 90.00
_cell_angle_gamma 90.00
loop_
_atom_site_label
_atom_site_fract_x
_atom_site_fract_y
_atom_site_fract_z
_atom_site_occupancy
Na1 0.000 0.000 0.000 1
La1 0.500 0.500 0.500 1
Be1 0.000 0.000 0.500 1
# - energy relative to the lowest polymorph listed for this composition (eV/atom) = 0.0000
# - formation energy from the elements (eV/atom) = 1.07
# - M_tot (μB per formula unit) = 0.0
# - N(E_F) (states/eV/f.u.) = 3.47

---

Entry 9:
# NaLa3Be, optimized geometry, DFT PBE
data_NaLa3Be
_space_group_name_H-M_alt 'P m -3 m'
_space_group_IT_number 221
_space_group_name_Hall '-P 4 2 3'
_cell_length_a 5.659
_cell_length_b 5.659
_cell_length_c 5.659
_cell_angle_alpha 90.00
_cell_angle_beta 90.00
_cell_angle_gamma 90.00
loop_
_atom_site_label
_atom_site_fract_x
_atom_site_fract_y
_atom_site_fract_z
_atom_site_occupancy
Na1 0.000 0.000 0.000 1
La1 0.000 0.500 0.500 1
Be1 0.500 0.500 0.500 1
# - energy relative to the lowest polymorph listed for this composition (eV/atom) = 0.0000
# - formation energy from the elements (eV/atom) = 0.36
# - M_tot (μB per formula unit) = 0.0
# - N(E_F) (states/eV/f.u.) = 10.18

---

Entry 10:
# NaLaBe2O4, optimized geometry, DFT PBE
data_NaLaBe2O4
_space_group_name_H-M_alt 'I 4 2 2'
_space_group_IT_number 97
_space_group_name_Hall 'I 4 2'
_cell_length_a 5.593
_cell_length_b 5.593
_cell_length_c 6.239
_cell_angle_alpha 90.00
_cell_angle_beta 90.00
_cell_angle_gamma 90.00
loop_
_atom_site_label
_atom_site_fract_x
_atom_site_fract_y
_atom_site_fract_z
_atom_site_occupancy
Na1 0.000 0.000 0.000 1
La1 0.000 0.000 0.500 1
Be1 0.000 0.500 0.250 1
O1 0.184 0.316 0.250 1
# - M_tot (μB per formula unit) = 0.0
# - N(E_F) (states/eV/f.u.) = 0.00
# - formation energy without anion corrections (eV per atom) = -2.413

---

Entry 11:
# NaLa2BePt, optimized geometry, DFT PBE
data_NaLa2BePt
_space_group_name_H-M_alt 'P 4/m m m'
_space_group_IT_number 123
_space_group_name_Hall '-P 4 2'
_cell_length_a 5.647
_cell_length_b 5.647
_cell_length_c 4.239
_cell_angle_alpha 90.00
_cell_angle_beta 90.00
_cell_angle_gamma 90.00
loop_
_atom_site_label
_atom_site_fract_x
_atom_site_fract_y
_atom_site_fract_z
_atom_site_occupancy
Na1 0.000 0.000 0.000 1
La1 0.000 0.500 0.500 1
Be1 0.500 0.500 0.500 1
Pt1 0.500 0.500 0.000 1
# - formation energy from the elements (eV/atom) = -0.11
# - M_tot (μB per formula unit) = 0.0
# - N(E_F) (states/eV/f.u.) = 6.18

---

Entry 12:
# NaLa2BeRh, optimized geometry, DFT PBE
data_NaLa2BeRh
_space_group_name_H-M_alt 'P 4/m m m'
_space_group_IT_number 123
_space_group_name_Hall '-P 4 2'
_cell_length_a 5.602
_cell_length_b 5.602
_cell_length_c 4.214
_cell_angle_alpha 90.00
_cell_angle_beta 90.00
_cell_angle_gamma 90.00
loop_
_atom_site_label
_atom_site_fract_x
_atom_site_fract_y
_atom_site_fract_z
_atom_site_occupancy
Na1 0.000 0.000 0.000 1
La1 0.000 0.500 0.000 1
Be1 0.000 0.000 0.500 1
Rh1 0.500 0.500 0.500 1
# - formation energy from the elements (eV/atom) = 0.98
# - M_tot (μB per formula unit) = 0.0
# - N(E_F) (states/eV/f.u.) = 4.48